No. 1
Below is a geometry-optimized Pu4HgPdAu2 structure, with properties calculated at the PBE level.

CIF file:
```
data_Pu4HgPdAu2
_space_group_name_H-M_alt 'P 1'
_space_group_IT_number 1
_cell_length_a 5.183
_cell_length_b 5.183
_cell_length_c 8.825
_cell_angle_alpha 72.92
_cell_angle_beta 72.92
_cell_angle_gamma 60.00
loop_
_space_group_symop_operation_xyz
'x,y,z'
loop_
_atom_site_label
_atom_site_type_symbol
_atom_site_fract_x
_atom_site_fract_y
_atom_site_fract_z
_atom_site_occupancy
Pu1 Pu 0.384 0.384 0.849 1
Pu2 Pu 0.867 0.867 0.399 1
Pu3 Pu 0.133 0.133 0.601 1
Pu4 Pu 0.616 0.616 0.151 1
Hg1 Hg 0.000 0.000 0.000 1
Pd1 Pd 0.500 0.500 0.500 1
Au1 Au 0.743 0.743 0.772 1
Au2 Au 0.257 0.257 0.228 1
```

The crystal system is trigonal. For the total energy, the calculation gives -71.8 eV per cell. Its mass density is 14.4 g/cm³.

---

No. 2
Below is a geometry-optimized RbHg2PdAu structure, with properties calculated at the PBE level.

CIF file:
```
data_RbHg2PdAu
_space_group_name_H-M_alt 'P 1'
_space_group_IT_number 1
_cell_length_a 5.339
_cell_length_b 5.339
_cell_length_c 5.371
_cell_angle_alpha 90.00
_cell_angle_beta 90.00
_cell_angle_gamma 90.00
loop_
_space_group_symop_operation_xyz
'x,y,z'
loop_
_atom_site_label
_atom_site_type_symbol
_atom_site_fract_x
_atom_site_fract_y
_atom_site_fract_z
_atom_site_occupancy
Rb1 Rb 0.500 0.500 0.500 1
Au1 Au 0.000 0.000 0.500 1
Hg1 Hg 0.000 0.500 0.000 1
Hg2 Hg 0.500 0.000 0.000 1
Pd1 Pd 0.000 0.000 0.000 1
```

The crystal system is tetragonal. For the total energy, the calculation gives -11.0 eV per cell. Its mass density is 8.6 g/cm³. The energy above the lowest structure with this stoichiometry is 0.0000 eV/atom.

---

No. 3
Below is a geometry-optimized RbHg2PdAu structure, with properties calculated at the PBE level.

CIF file:
```
data_RbHg2PdAu
_space_group_name_H-M_alt 'P 1'
_space_group_IT_number 1
_cell_length_a 5.253
_cell_length_b 6.431
_cell_length_c 5.253
_cell_angle_alpha 90.00
_cell_angle_beta 90.00
_cell_angle_gamma 90.00
loop_
_space_group_symop_operation_xyz
'x,y,z'
loop_
_atom_site_label
_atom_site_type_symbol
_atom_site_fract_x
_atom_site_fract_y
_atom_site_fract_z
_atom_site_occupancy
Rb1 Rb 0.000 0.500 0.000 1
Au1 Au 0.500 0.500 0.500 1
Hg1 Hg 0.000 0.000 0.500 1
Hg2 Hg 0.500 0.000 0.000 1
Pd1 Pd 0.000 0.000 0.000 1
```

The crystal system is tetragonal. For the total energy, the calculation gives -9.7 eV per cell. Its mass density is 7.4 g/cm³. The energy above the lowest structure with this stoichiometry is 0.2758 eV/atom.

---

No. 4
Below is a geometry-optimized Sc4HgPdAu2 structure, with properties calculated at the PBE level.

CIF file:
```
data_Sc4HgPdAu2
_space_group_name_H-M_alt 'P 1'
_space_group_IT_number 1
_cell_length_a 4.827
_cell_length_b 4.827
_cell_length_c 8.332
_cell_angle_alpha 73.16
_cell_angle_beta 73.16
_cell_angle_gamma 60.00
loop_
_space_group_symop_operation_xyz
'x,y,z'
loop_
_atom_site_label
_atom_site_type_symbol
_atom_site_fract_x
_atom_site_fract_y
_atom_site_fract_z
_atom_site_occupancy
Sc1 Sc 0.380 0.380 0.861 1
Sc2 Sc 0.871 0.871 0.387 1
Sc3 Sc 0.129 0.129 0.613 1
Sc4 Sc 0.620 0.620 0.139 1
Hg1 Hg 0.000 0.000 0.000 1
Pd1 Pd 0.500 0.500 0.500 1
Au1 Au 0.747 0.747 0.758 1
Au2 Au 0.253 0.253 0.242 1
```

The crystal system is trigonal. For the total energy, the calculation gives -43.2 eV per cell. Its mass density is 9.2 g/cm³.

---

No. 5
Below is a geometry-optimized HgPdAuSe2 structure, with properties calculated at the PBE level.

CIF file:
```
data_HgPdAuSe2
_space_group_name_H-M_alt 'P 1'
_space_group_IT_number 1
_cell_length_a 5.195
_cell_length_b 6.118
_cell_length_c 8.461
_cell_angle_alpha 111.19
_cell_angle_beta 90.00
_cell_angle_gamma 90.00
loop_
_space_group_symop_operation_xyz
'x,y,z'
loop_
_atom_site_label
_atom_site_type_symbol
_atom_site_fract_x
_atom_site_fract_y
_atom_site_fract_z
_atom_site_occupancy
Hg1 Hg 0.166 0.750 0.500 1
Hg2 Hg 0.834 0.250 0.500 1
Pd1 Pd 0.500 0.750 0.000 1
Pd2 Pd 0.500 0.250 0.000 1
Au1 Au 0.000 0.000 0.000 1
Au2 Au 0.000 0.500 0.000 1
Se1 Se 0.660 0.886 0.772 1
Se2 Se 0.660 0.614 0.228 1
Se3 Se 0.340 0.386 0.772 1
Se4 Se 0.340 0.114 0.228 1
```

The crystal system is orthorhombic. For the total energy, the calculation gives -31.7 eV per cell. For the uncorrected formation energy, the calculation gives -0.02 eV/atom. Its mass density is 8.8 g/cm³.

---

No. 6
Below is a geometry-optimized SmHgPdAu structure, with properties calculated at the PBE level.

CIF file:
```
data_SmHgPdAu
_space_group_name_H-M_alt 'P 1'
_space_group_IT_number 1
_cell_length_a 4.943
_cell_length_b 4.943
_cell_length_c 4.943
_cell_angle_alpha 60.00
_cell_angle_beta 60.00
_cell_angle_gamma 60.00
loop_
_space_group_symop_operation_xyz
'x,y,z'
loop_
_atom_site_label
_atom_site_type_symbol
_atom_site_fract_x
_atom_site_fract_y
_atom_site_fract_z
_atom_site_occupancy
Pd1 Pd 0.500 0.500 0.500 1
Au1 Au 0.000 0.000 0.000 1
Hg1 Hg 0.250 0.250 0.250 1
Sm1 Sm 0.750 0.750 0.750 1
```

The crystal system is cubic. For the total energy, the calculation gives -15.9 eV per cell. Its mass density is 12.7 g/cm³.

---

No. 7
Below is a geometry-optimized Sn2Hg2Pd7Au structure, with properties calculated at the PBE level.

CIF file:
```
data_Sn2Hg2Pd7Au
_space_group_name_H-M_alt 'P 1'
_space_group_IT_number 1
_cell_length_a 3.833
_cell_length_b 3.833
_cell_length_c 16.047
_cell_angle_alpha 83.05
_cell_angle_beta 83.05
_cell_angle_gamma 90.03
loop_
_space_group_symop_operation_xyz
'x,y,z'
loop_
_atom_site_label
_atom_site_type_symbol
_atom_site_fract_x
_atom_site_fract_y
_atom_site_fract_z
_atom_site_occupancy
Sn1 Sn 0.808 0.808 0.384 1
Sn2 Sn 0.192 0.192 0.616 1
Hg1 Hg 0.635 0.635 0.734 1
Hg2 Hg 0.365 0.365 0.266 1
Pd1 Pd 0.500 0.500 0.000 1
Pd2 Pd 0.277 0.277 0.447 1
Pd3 Pd 0.723 0.723 0.553 1
Pd4 Pd 0.932 0.432 0.134 1
Pd5 Pd 0.432 0.932 0.134 1
Pd6 Pd 0.568 0.068 0.866 1
Pd7 Pd 0.068 0.568 0.866 1
Au1 Au 0.000 0.000 0.000 1
```

The crystal system is monoclinic. For the total energy, the calculation gives -49.4 eV per cell. Its mass density is 11.3 g/cm³.

---

No. 8
Below is a geometry-optimized Sr2HgPd2Au5 structure, with properties calculated at the PBE level.

CIF file:
```
data_Sr2HgPd2Au5
_space_group_name_H-M_alt 'P 1'
_space_group_IT_number 1
_cell_length_a 4.205
_cell_length_b 10.127
_cell_length_c 10.127
_cell_angle_alpha 90.00
_cell_angle_beta 90.00
_cell_angle_gamma 90.00
loop_
_space_group_symop_operation_xyz
'x,y,z'
loop_
_atom_site_label
_atom_site_type_symbol
_atom_site_fract_x
_atom_site_fract_y
_atom_site_fract_z
_atom_site_occupancy
Sr1 Sr 0.000 0.675 0.175 1
Sr2 Sr 0.000 0.325 0.825 1
Sr3 Sr 0.000 0.175 0.325 1
Sr4 Sr 0.000 0.825 0.675 1
Hg1 Hg 0.000 0.000 0.000 1
Hg2 Hg 0.000 0.500 0.500 1
Pd1 Pd 0.000 0.124 0.624 1
Pd2 Pd 0.000 0.876 0.376 1
Pd3 Pd 0.000 0.624 0.876 1
Pd4 Pd 0.000 0.376 0.124 1
Au1 Au 0.500 0.204 0.059 1
Au2 Au 0.500 0.796 0.941 1
Au3 Au 0.500 0.059 0.796 1
Au4 Au 0.500 0.704 0.441 1
Au5 Au 0.500 0.941 0.204 1
Au6 Au 0.500 0.296 0.559 1
Au7 Au 0.500 0.559 0.704 1
Au8 Au 0.500 0.441 0.296 1
Au9 Au 0.500 0.500 0.000 1
Au10 Au 0.500 0.000 0.500 1
```

The crystal system is tetragonal. For the total energy, the calculation gives -70.3 eV per cell. Its mass density is 12.1 g/cm³.

---

No. 9
Below is a geometry-optimized SrHg2Pd2Au structure, with properties calculated at the PBE level.

CIF file:
```
data_SrHg2Pd2Au
_space_group_name_H-M_alt 'P 1'
_space_group_IT_number 1
_cell_length_a 5.354
_cell_length_b 5.354
_cell_length_c 6.825
_cell_angle_alpha 113.09
_cell_angle_beta 113.09
_cell_angle_gamma 90.00
loop_
_space_group_symop_operation_xyz
'x,y,z'
loop_
_atom_site_label
_atom_site_type_symbol
_atom_site_fract_x
_atom_site_fract_y
_atom_site_fract_z
_atom_site_occupancy
Sr1 Sr 0.500 0.500 0.000 1
Hg1 Hg 0.250 0.750 0.500 1
Hg2 Hg 0.750 0.250 0.500 1
Pd1 Pd 0.766 0.766 0.532 1
Pd2 Pd 0.234 0.234 0.468 1
Au1 Au 0.000 0.000 0.000 1
```

The crystal system is tetragonal. For the total energy, the calculation gives -17.2 eV per cell. Its mass density is 9.2 g/cm³.

---

No. 10
Below is a geometry-optimized SrHgPdAu structure, with properties calculated at the PBE level.

CIF file:
```
data_SrHgPdAu
_space_group_name_H-M_alt 'P 1'
_space_group_IT_number 1
_cell_length_a 4.791
_cell_length_b 4.782
_cell_length_c 5.747
_cell_angle_alpha 114.63
_cell_angle_beta 90.00
_cell_angle_gamma 120.06
loop_
_space_group_symop_operation_xyz
'x,y,z'
loop_
_atom_site_label
_atom_site_type_symbol
_atom_site_fract_x
_atom_site_fract_y
_atom_site_fract_z
_atom_site_occupancy
Sr1 Sr 0.619 0.238 0.499 1
Hg1 Hg 0.099 0.199 0.940 1
Pd1 Pd 0.419 0.838 0.899 1
Au1 Au 0.829 0.658 0.129 1
```

The crystal system is monoclinic. For the total energy, the calculation gives -12.5 eV per cell. Its mass density is 9.8 g/cm³.

---

No. 11
Below is a geometry-optimized Sr2HgPd5Au2 structure, with properties calculated at the PBE level.

CIF file:
```
data_Sr2HgPd5Au2
_space_group_name_H-M_alt 'P 1'
_space_group_IT_number 1
_cell_length_a 4.128
_cell_length_b 10.012
_cell_length_c 10.012
_cell_angle_alpha 90.00
_cell_angle_beta 90.00
_cell_angle_gamma 90.00
loop_
_space_group_symop_operation_xyz
'x,y,z'
loop_
_atom_site_label
_atom_site_type_symbol
_atom_site_fract_x
_atom_site_fract_y
_atom_site_fract_z
_atom_site_occupancy
Sr1 Sr 0.000 0.674 0.174 1
Sr2 Sr 0.000 0.326 0.826 1
Sr3 Sr 0.000 0.174 0.326 1
Sr4 Sr 0.000 0.826 0.674 1
Hg1 Hg 0.000 0.000 0.000 1
Hg2 Hg 0.000 0.500 0.500 1
Pd1 Pd 0.500 0.199 0.060 1
Pd2 Pd 0.500 0.801 0.940 1
Pd3 Pd 0.500 0.060 0.801 1
Pd4 Pd 0.500 0.699 0.440 1
Pd5 Pd 0.500 0.940 0.199 1
Pd6 Pd 0.500 0.301 0.560 1
Pd7 Pd 0.500 0.560 0.699 1
Pd8 Pd 0.500 0.440 0.301 1
Pd9 Pd 0.500 0.500 0.000 1
Pd10 Pd 0.500 0.000 0.500 1
Au1 Au 0.000 0.124 0.624 1
Au2 Au 0.000 0.876 0.376 1
Au3 Au 0.000 0.624 0.876 1
Au4 Au 0.000 0.376 0.124 1
```

The crystal system is tetragonal. For the total energy, the calculation gives -81.5 eV per cell. Its mass density is 10.4 g/cm³.

---

No. 12
Below is a geometry-optimized Hg2Te2Pd7Au structure, with properties calculated at the PBE level.

CIF file:
```
data_Hg2Te2Pd7Au
_space_group_name_H-M_alt 'P 1'
_space_group_IT_number 1
_cell_length_a 3.883
_cell_length_b 3.883
_cell_length_c 16.318
_cell_angle_alpha 80.76
_cell_angle_beta 80.76
_cell_angle_gamma 90.08
loop_
_space_group_symop_operation_xyz
'x,y,z'
loop_
_atom_site_label
_atom_site_type_symbol
_atom_site_fract_x
_atom_site_fract_y
_atom_site_fract_z
_atom_site_occupancy
Hg1 Hg 0.676 0.676 0.739 1
Hg2 Hg 0.324 0.324 0.261 1
Te1 Te 0.761 0.761 0.395 1
Te2 Te 0.239 0.239 0.605 1
Pd1 Pd 0.500 0.500 0.000 1
Pd2 Pd 0.242 0.242 0.439 1
Pd3 Pd 0.758 0.758 0.561 1
Pd4 Pd 0.911 0.410 0.132 1
Pd5 Pd 0.410 0.911 0.132 1
Pd6 Pd 0.590 0.089 0.868 1
Pd7 Pd 0.089 0.590 0.868 1
Au1 Au 0.000 0.000 0.000 1
```

The crystal system is monoclinic. For the total energy, the calculation gives -47.4 eV per cell. For the uncorrected formation energy, the calculation gives -0.07 eV/atom. Its mass density is 11.1 g/cm³.